Density functional theory data (PBE-GGA) for Ge2BCl after structural relaxation.

a b c (Å): 6.0560 6.0560 6.0681
angles (deg): 60.07 60.07 90.00
Last column: nearest neighbours and their distance in Å.
Atoms (fractional coordinates):
Cl 0.0000 0.0000 0.0000  4 Ge 2.80
Cl 0.7500 0.2500 0.5000  4 Ge 2.80
B 0.5000 0.5000 0.0000  4 Ge 2.08
B 0.2500 0.7500 0.5000  4 Ge 2.08
Ge 0.3750 0.4719 0.7500  2 B 2.08
Ge 0.2219 0.6250 0.2500  2 B 2.08
Ge 0.8750 0.7781 0.7500  2 B 2.08
Ge 0.5281 0.1250 0.2500  2 B 2.08

## Properties
Space-group type   No. 122
Excess energy over the best structure of this formula in the dataset   0.0 kJ/mol of formula units
N(E_F)   3.78 states/eV per cell
Electronic total energy   -32.5 eV for the cell shown
Uncorrected formation energy   1.520 eV/f.u.
Magnetic moment   0.0 μB/f.u.


Density functional theory data (PBE-GGA) for ScMoAu2 after structural relaxation.

a b c (Å): 5.1303 5.1303 5.0810
angles (deg): 80.27 80.27 33.06
Last column: nearest neighbours and their distance in Å.
Atoms (fractional coordinates):
Au 0.0059 0.0059 0.9924  6 Au 2.88-2.98, 3 Mo 2.89-2.99, 3 Sc 2.93-3.00
Au 0.4941 0.4941 0.5076  6 Au 2.88-2.98, 3 Mo 2.89-2.99, 3 Sc 2.93-3.00
Mo 0.7500 0.7500 0.7500  6 Au 2.89-2.99, 2 Mo 2.92, 4 Sc 2.93
Sc 0.2500 0.2500 0.2500  2 Sc 2.92, 4 Mo 2.93, 6 Au 2.93-3.00

## Properties
Space-group type   No. 12
Excess energy over the best structure of this formula in the dataset   65.0 kJ/mol of formula units
N(E_F)   2.70 states/eV per cell
Electronic total energy   -23.7 eV for the cell shown
Magnetic moment   0.0 μB/f.u.


Density functional theory data (PBE-GGA) for CeMgZr7O16 after structural relaxation.

a b c (Å): 5.6543 7.1490 7.7372
angles (deg): 90.00 90.00 90.00
Last column: nearest neighbours and their distance in Å.
Atoms (fractional coordinates):
O 0.8446 0.5000 0.2675  2 Zr 2.08
O 0.2335 0.7681 0.5000  4 Zr 2.21-2.34
O 0.3668 0.5000 0.2743  2 Zr 2.10, 1 Mg 2.12
O 0.1341 0.7043 0.0000  1 Mg 1.98, 1 Zr 2.02, 1 Ce 2.21
O 0.3212 0.0000 0.7795  2 Zr 2.07
O 0.2335 0.2319 0.5000  4 Zr 2.21-2.34
O 0.1341 0.2957 0.0000  1 Mg 1.98, 1 Zr 2.02, 1 Ce 2.21
O 0.7504 0.2613 0.5000  4 Zr 2.12-2.33
O 0.3668 0.5000 0.7257  2 Zr 2.10, 1 Mg 2.12
O 0.7504 0.7387 0.5000  4 Zr 2.12-2.33
O 0.3212 0.0000 0.2205  2 Zr 2.07
O 0.8019 0.0000 0.2599  3 Zr 2.10-2.30
O 0.8446 0.5000 0.7325  2 Zr 2.08
O 0.6128 0.7178 0.0000  1 Mg 2.07, 3 Zr 2.20-2.28
O 0.8019 0.0000 0.7401  3 Zr 2.10-2.30
O 0.6128 0.2822 0.0000  1 Mg 2.07, 3 Zr 2.20-2.28
Zr 0.5221 0.2326 0.7160  5 O 2.07-2.30
Zr 0.8867 0.5000 0.0000  6 O 2.02-2.20
Zr 0.0304 0.5000 0.5000  6 O 2.08-2.33
Zr 0.5221 0.2326 0.2840  5 O 2.07-2.30
Zr 0.9736 0.0000 0.5000  6 O 2.10-2.25
Zr 0.5221 0.7674 0.2840  5 O 2.07-2.30
Zr 0.5221 0.7674 0.7160  5 O 2.07-2.30
Ce 0.0203 0.0000 0.0000  6 O 2.21-2.41
Mg 0.3702 0.5000 0.0000  6 O 1.98-2.12

## Properties
Space-group type   No. 25
Excess energy over the best structure of this formula in the dataset   0.0 kJ/mol of formula units
N(E_F)   9.61 states/eV per cell
Electronic total energy   -224.9 eV for the cell shown
Uncorrected formation energy   -78.155 eV/f.u.
Magnetic moment   1.0 μB/f.u.